Pu4Sb3H2 after structural relaxation, computed with PBE.

E: -9.0405 eV/atom
DOS at the Fermi energy: 3.36 states/eV per atom
Density: 11.37 Mg/m³
Symmetry: C2/m, No. 12
Total magnetic moment: 21.039 μB/f.u.

abc: 4.430 5.933 8.753
angles: 67.94 75.34 68.08
Atoms (fractional coordinates):
Pu  0.293  0.304  0.110
Pu  0.707  0.696  0.890
Pu  0.119  0.163  0.599
Pu  0.881  0.837  0.401
Sb  0.386  0.538  0.689
Sb  0.000  0.000  0.000
Sb  0.614  0.462  0.311
H  0.310  0.006  0.373
H  0.690  0.994  0.627